--- 1 ---
HfCrReNi | Alexandria via LeMat-Bulk | GGA-PBE | relaxed; total magnetic moment = 0.90 μB per formula unit; mass density = 13.38 Mg/m³; space-group type = No. 8
1.0
-2.133 -3.488 0.774
2.601 -1.302 1.304
-0.253 6.689 7.179
Re Hf Cr Ni
2 2 2 2
Direct
0.727 0.000 0.075 Re
0.727 0.500 0.575 Re
0.470 0.000 0.317 Hf
0.470 0.500 0.817 Hf
0.218 0.000 0.567 Cr
0.218 0.500 0.067 Cr
0.986 0.000 0.833 Ni
0.986 0.500 0.333 Ni



--- 2 ---
HfCrReNi | Alexandria via LeMat-Bulk | GGA-PBE | relaxed; total magnetic moment = 0.00 μB per formula unit; mass density = 13.65 Mg/m³; space-group type = No. 47
1.0
-0.474 -0.247 4.086
0.288 -3.154 -0.157
4.377 0.374 0.531
Re Hf Cr Ni
1 1 1 1
Direct
0.500 0.000 0.000 Re
0.000 0.000 0.500 Hf
0.000 0.500 0.000 Cr
0.500 0.500 0.500 Ni



So which one is most stable? That would be 2, about 91 meV per atom below the next structure.



--- 1 ---
HfCrReNi | Alexandria via LeMat-Bulk | GGA-PBE | relaxed; total magnetic moment = 0.01 μB per formula unit; mass density = 13.53 Mg/m³; space-group type = No. 1
1.0
2.885 0.003 -0.005
-0.412 4.433 -0.020
-1.246 -1.999 4.574
Re Hf Cr Ni
1 1 1 1
Direct
0.137 0.503 0.185 Re
0.221 0.107 0.636 Hf
0.617 0.971 0.102 Cr
0.794 0.599 0.661 Ni



--- 2 ---
HfCrReNi | Alexandria via LeMat-Bulk | GGA-PBE | relaxed; total magnetic moment = 2.00 μB per formula unit; mass density = 13.22 Mg/m³; space-group type = No. 47
1.0
4.404 0.000 0.000
0.000 4.137 0.000
0.000 0.000 3.276
Re Hf Cr Ni
1 1 1 1
Direct
0.000 0.500 0.954 Re
0.500 0.500 0.454 Hf
0.000 0.000 0.454 Cr
0.500 0.000 0.953 Ni



--- 3 ---
HfCrReNi | Alexandria via LeMat-Bulk | GGA-PBE | relaxed; total magnetic moment = 0.29 μB per formula unit; mass density = 13.39 Mg/m³; space-group type = No. 38
1.0
-2.265 -2.831 1.614
-0.084 -1.457 -2.673
8.006 -4.997 2.473
Re Hf Cr Ni
2 2 2 2
Direct
0.000 0.000 0.838 Re
0.000 0.500 0.338 Re
0.500 0.000 0.548 Hf
0.500 0.500 0.048 Hf
0.500 0.000 0.289 Cr
0.500 0.500 0.789 Cr
0.000 0.000 0.117 Ni
0.000 0.500 0.617 Ni



So which one is most stable? That would be 2, about 72 meV per atom below the next structure.